K2Al2Sn PBE optimized geometry; crystal system = tetragonal; E = -2.556 eV/atom; total magnetization = 0.00 μB per cell; energy of formation = 0.902 eV/f.u.; energy above the most stable polymorph in this dataset = 0.081 eV/atom
1.0
3.750 0.000 0.000
0.000 3.750 0.000
1.875 1.875 11.819
K Sn Al
2 1 2
Cartesian
1.875 1.875 2.621 K
3.750 3.750 9.198 K
0.000 0.000 0.000 Sn
3.750 1.875 5.909 Al
1.875 3.750 5.909 Al


CdSiB2Pb PBE optimized geometry; crystal system = tetragonal; E = -2.830 eV/atom; total magnetization = 0.00 μB per cell
1.0
4.439 0.000 0.000
0.000 6.256 0.000
0.000 0.000 4.439
Pb Si B Cd
1 1 2 1
Cartesian
0.000 3.128 0.000 Pb
2.219 3.128 2.219 Si
0.000 0.000 2.219 B
2.219 0.000 0.000 B
0.000 0.000 0.000 Cd


RbAu PBE optimized geometry; crystal system = orthorhombic; E = -2.393 eV/atom; total magnetization = 0.00 μB per cell; energy of formation = -0.541 eV/f.u.
1.0
-1.072 1.645 -8.350
1.973 -7.479 -1.727
-4.046 -1.136 0.296
Rb Au
4 4
Cartesian
-0.294 0.451 -2.287 Rb
-0.779 1.194 -6.063 Rb
0.157 -2.467 -7.325 Rb
0.744 -3.368 -2.751 Rb
-1.623 -2.084 -0.202 Au
-0.450 -6.531 -1.229 Au
-1.173 -5.001 -5.240 Au
-1.973 -1.969 -4.540 Au


GaCuBiOs2 PBE optimized geometry; crystal system = tetragonal; E = -5.441 eV/atom; total magnetization = 0.79 μB per cell; energy of formation = 6.258 eV/f.u.
1.0
4.680 0.000 0.000
0.000 4.392 0.000
0.000 0.000 4.680
Cu Os Bi Ga
1 2 1 1
Cartesian
0.000 2.196 0.000 Cu
0.000 0.000 2.340 Os
2.340 0.000 0.000 Os
2.340 2.196 2.340 Bi
0.000 0.000 0.000 Ga


CrSbPd2 PBE optimized geometry; crystal system = tetragonal; E = -5.981 eV/atom; total magnetization = 6.56 μB per cell
1.0
-1.796 2.645 -2.344
-3.280 -0.268 2.211
0.539 8.063 5.332
Sb Pd Cr
2 4 2
Cartesian
0.000 0.000 0.000 Sb
-1.897 5.949 1.461 Sb
-1.392 3.628 0.151 Pd
-2.145 2.187 2.415 Pd
-1.509 6.938 3.956 Pd
-4.028 8.129 3.876 Pd
-2.538 1.189 -0.067 Cr
-2.640 4.492 3.738 Cr


Dy4Tl5Pb PBE optimized geometry; crystal system = monoclinic; E = -3.700 eV/atom; total magnetization = 0.00 μB per cell; energy of formation = -3.053 eV/f.u.
1.0
-3.163 3.760 -0.062
-4.280 -3.660 -3.599
0.764 -2.415 9.365
Dy Tl Pb
4 5 1
Cartesian
-3.107 0.642 2.682 Dy
-3.744 -3.173 -1.448 Dy
-3.573 -2.956 3.022 Dy
-2.936 0.859 7.153 Dy
-1.332 -1.042 4.813 Tl
-1.835 -1.533 0.645 Tl
-4.845 -0.782 5.060 Tl
-3.722 0.050 -1.830 Tl
-5.348 -1.273 0.892 Tl
-1.582 1.880 -0.031 Pb


InAg3Au7 PBE optimized geometry; crystal system = monoclinic; E = -3.031 eV/atom; total magnetization = 0.00 μB per cell; energy of formation = 0.890 eV/f.u.
1.0
-0.574 5.106 0.210
-6.077 -3.171 1.666
3.135 -2.309 5.882
In Ag Au
1 3 7
Cartesian
-1.758 -0.187 3.879 In
-3.941 -2.971 2.643 Ag
-0.287 2.553 0.105 Ag
0.999 -2.509 4.904 Ag
-0.601 -0.189 1.351 Au
1.202 0.089 3.647 Au
0.010 -0.021 6.274 Au
-3.526 -0.353 1.483 Au
-1.471 -2.740 3.774 Au
-4.718 -0.463 4.111 Au
-2.915 -0.185 6.407 Au


LaTbSmMg PBE optimized geometry; crystal system = cubic; E = -3.941 eV/atom; total magnetization = 0.00 μB per cell; energy of formation = 0.108 eV/f.u.; energy above the most stable polymorph in this dataset = 0.057 eV/atom
1.0
-4.418 2.859 2.032
-2.169 -1.359 5.027
0.668 3.475 4.393
Mg Tb Sm La
1 1 1 1
Cartesian
0.000 0.000 0.000 Mg
-2.960 2.487 5.726 Tb
-1.480 1.244 2.863 Sm
-4.440 3.731 8.589 La


MgBeH5 PBE optimized geometry; crystal system = orthorhombic; E = -2.922 eV/atom; total magnetization = 4.00 μB per cell
1.0
5.278 0.000 0.000
0.000 6.564 0.000
0.000 0.000 8.677
Mg Be H
4 4 20
Cartesian
3.959 1.628 8.045 Mg
1.320 4.936 0.632 Mg
3.959 1.654 3.706 Mg
1.320 4.910 4.970 Mg
3.959 6.438 1.596 Be
1.320 0.126 7.080 Be
3.959 3.408 5.935 Be
1.320 3.156 2.742 Be
3.959 2.018 5.569 H
1.320 4.546 3.108 H
3.959 1.264 1.230 H
1.320 5.300 7.446 H
3.959 6.426 3.074 H
1.320 0.139 5.603 H
3.959 3.421 7.412 H
1.320 3.143 1.264 H
2.476 2.495 3.152 H
5.115 4.069 5.525 H
2.802 4.069 5.525 H
0.163 2.495 3.152 H
2.802 5.777 1.186 H
0.163 0.787 7.490 H
2.476 0.787 7.490 H
5.115 5.777 1.186 H
2.639 0.000 4.338 H
0.000 0.000 4.338 H
2.639 3.282 0.000 H
0.000 3.282 0.000 H


TmAuSe2 PBE optimized geometry; crystal system = trigonal; E = -4.804 eV/atom; total magnetization = 0.00 μB per cell
1.0
4.222 0.000 0.000
2.111 3.656 0.000
2.111 1.219 7.784
Tm Au Se
1 1 2
Cartesian
4.222 2.437 3.892 Tm
0.000 0.000 0.000 Au
2.111 1.219 5.353 Se
6.333 3.656 2.431 Se


KNaEuCd PBE optimized geometry; crystal system = cubic; E = -3.364 eV/atom; total magnetization = 7.67 μB per cell; energy of formation = 0.151 eV/f.u.
1.0
-1.178 5.892 -0.366
-2.483 2.868 4.673
3.256 3.925 3.198
Eu Na K Cd
1 1 1 1
Cartesian
0.000 0.000 0.000 Eu
-0.101 3.171 1.876 Na
-0.202 6.342 3.753 K
-0.304 9.514 5.629 Cd


BaNaAgS2 PBE optimized geometry; crystal system = orthorhombic; E = -3.996 eV/atom; total magnetization = 0.00 μB per cell
1.0
5.656 0.000 0.000
0.000 6.153 0.000
0.000 -3.077 7.224
Ba Na Ag S
2 2 2 4
Cartesian
1.361 3.077 3.612 Ba
4.295 0.000 3.612 Ba
2.828 4.615 0.000 Na
2.828 1.538 0.000 Na
0.000 0.000 0.000 Ag
0.000 3.077 0.000 Ag
4.210 3.077 5.313 S
4.210 3.077 1.912 S
1.446 0.000 5.313 S
1.446 0.000 1.912 S


no.,calculated volume (Å³/cell)
1,166
2,123
3,286
4,96
5,146
6,276
7,223
8,127
9,301
10,120
11,154
12,251